This record from the Alexandria database describes a relaxed Cd2Ga2Pb crystal. The functional is PBE-GGA.

Total magnetic moment, Bohr magnetons per cell: 0.00
Formation energy from the elements, eV per atom: 0.077
E above lowest polymorph, eV/atom: 0.0237
D(E_F), states/eV/atom: 0.437

Lattice parameters (Å, degrees): 8.5067 8.5067 3.2788 90.00 90.00 90.00
Atoms (fractional coordinates):
Cd: 0.3671 0.8671 0.0000
Cd: 0.6329 0.1329 0.0000
Cd: 0.1329 0.3671 0.0000
Cd: 0.8671 0.6329 0.0000
Ga: 0.1640 0.6640 0.5000
Ga: 0.3360 0.1640 0.5000
Ga: 0.8360 0.3360 0.5000
Ga: 0.6640 0.8360 0.5000
Pb: 0.0000 0.0000 0.0000
Pb: 0.5000 0.5000 0.0000

***

This record from the Alexandria database describes a relaxed CdGaPb2 crystal. The functional is PBE-GGA.

Total magnetic moment, Bohr magnetons per cell: 0.00
Formation energy from the elements, eV per atom: 0.158
D(E_F), states/eV/atom: 0.538

Lattice parameters (Å, degrees): 4.5695 4.5695 11.3966 78.44 78.44 90.00
Atoms (fractional coordinates):
Ga: 0.2500 0.7500 0.5000
Ga: 0.5000 0.5000 0.0000
Cd: 0.0000 0.0000 0.0000
Cd: 0.7500 0.2500 0.5000
Pb: 0.6220 0.1250 0.2500
Pb: 0.1280 0.6250 0.2500
Pb: 0.3750 0.3780 0.7500
Pb: 0.8750 0.8720 0.7500

***

This record from the Alexandria database describes a relaxed CdGa2Pb2 crystal. The functional is PBE-GGA.

Total magnetic moment, Bohr magnetons per cell: 0.00
Formation energy from the elements, eV per atom: 0.061
E above lowest polymorph, eV/atom: 0.0000
D(E_F), states/eV/atom: 0.274

Lattice parameters (Å, degrees): 7.2179 7.2179 4.8874 90.00 90.00 90.00
Atoms (fractional coordinates):
Pb: 0.3237 0.1763 0.5000
Pb: 0.1763 0.6763 0.5000
Pb: 0.8237 0.3237 0.5000
Pb: 0.6763 0.8237 0.5000
Ga: 0.6303 0.1303 0.0000
Ga: 0.1303 0.3697 0.0000
Ga: 0.8697 0.6303 0.0000
Ga: 0.3697 0.8697 0.0000
Cd: 0.5000 0.5000 0.0000
Cd: 0.0000 0.0000 0.0000

***

This record from the Alexandria database describes a relaxed CdGaPb2 crystal. The functional is PBE-GGA.

Total magnetic moment, Bohr magnetons per cell: 0.00
Formation energy from the elements, eV per atom: 0.068
D(E_F), states/eV/atom: 0.438

Lattice parameters (Å, degrees): 4.2923 5.0001 5.0001 90.00 90.00 90.00
Atoms (fractional coordinates):
Pb: 0.0000 0.5000 0.0000
Pb: 0.0000 0.0000 0.5000
Cd: 0.5000 0.0000 0.0000
Ga: 0.5000 0.5000 0.5000

***

This record from the Alexandria database describes a relaxed CdGaPb2 crystal. The functional is PBE-GGA.

Total magnetic moment, Bohr magnetons per cell: 0.00
Formation energy from the elements, eV per atom: 0.159
D(E_F), states/eV/atom: 0.618

Lattice parameters (Å, degrees): 3.3177 3.3177 11.8690 81.97 81.97 60.00
Atoms (fractional coordinates):
Pb: 0.9144 0.9144 0.2568
Pb: 0.0856 0.0856 0.7432
Ga: 0.0000 0.0000 0.0000
Cd: 0.5000 0.5000 0.5000

***

This record from the Alexandria database describes a relaxed Cd2Ga2Pb crystal. The functional is PBE-GGA.

Total magnetic moment, Bohr magnetons per cell: 0.00
Formation energy from the elements, eV per atom: 0.054
E above lowest polymorph, eV/atom: 0.0000
D(E_F), states/eV/atom: 0.381

Lattice parameters (Å, degrees): 4.4019 4.4019 6.8651 71.30 71.30 90.00
Atoms (fractional coordinates):
Pb: 0.0000 0.0000 0.0000
Ga: 0.6024 0.6024 0.7952
Ga: 0.3976 0.3976 0.2048
Cd: 0.7500 0.2500 0.5000
Cd: 0.2500 0.7500 0.5000

***

This record from the Alexandria database describes a relaxed CdGa3Pb3 crystal. The functional is PBE-GGA.

Total magnetic moment, Bohr magnetons per cell: 0.00
Formation energy from the elements, eV per atom: 0.385
D(E_F), states/eV/atom: 1.219

Lattice parameters (Å, degrees): 7.9176 7.9176 7.9176 90.00 90.00 90.00
Atoms (fractional coordinates):
Ga: 0.5000 0.7500 0.0000
Ga: 0.0000 0.5000 0.2500
Ga: 0.0000 0.5000 0.7500
Ga: 0.2500 0.0000 0.5000
Ga: 0.7500 0.0000 0.5000
Ga: 0.5000 0.2500 0.0000
Pb: 0.5000 0.0000 0.7500
Pb: 0.0000 0.2500 0.5000
Pb: 0.5000 0.0000 0.2500
Pb: 0.7500 0.5000 0.0000
Pb: 0.2500 0.5000 0.0000
Pb: 0.0000 0.7500 0.5000
Cd: 0.0000 0.0000 0.0000
Cd: 0.5000 0.5000 0.5000

***

This record from the Alexandria database describes a relaxed Cd2Ga2Pb crystal. The functional is PBE-GGA.

Total magnetic moment, Bohr magnetons per cell: 0.00
Formation energy from the elements, eV per atom: 0.083
E above lowest polymorph, eV/atom: 0.0290
D(E_F), states/eV/atom: 0.431

Lattice parameters (Å, degrees): 4.2111 4.2111 7.3844 73.43 73.43 90.00
Atoms (fractional coordinates):
Ga: 0.2500 0.7500 0.5000
Ga: 0.7500 0.2500 0.5000
Cd: 0.6067 0.6067 0.7867
Cd: 0.3933 0.3933 0.2133
Pb: 0.0000 0.0000 0.0000